1.
The following is a DFT calculation (GGA-PBE) of a relaxed structure of Na4Rh3AuO8.

abc: 6.281 6.284 6.569
angles: 118.79 118.56 90.00
Element x y z (fractional)
1 Na 0.000 0.000 0.500
2 Na 0.500 0.000 0.000
3 O 0.722 0.692 0.445
4 O 0.719 0.681 0.930
5 O 0.211 0.681 0.930
6 Na 0.500 0.000 0.500
7 Au 0.000 0.500 0.000
8 O 0.273 0.740 0.545
9 O 0.281 0.319 0.070
10 Rh 0.000 0.500 0.500
11 O 0.789 0.319 0.070
12 Rh 0.500 0.500 0.500
13 Rh 0.500 0.500 0.000
14 O 0.278 0.308 0.555
15 O 0.727 0.260 0.455
16 Na 0.000 0.000 0.000

Computed properties:
The space group is C2/m, No. 12. The formation energy (no corrections) comes out at -92.1 kJ per mole of atoms.

---

2.
The following is a DFT calculation (GGA-PBE) of a relaxed structure of NaAuS2O8.

abc: 4.903 4.903 8.508
angles: 73.25 73.25 60.00
Each line ends with the local moment (μB).
Element x y z (fractional)
1 O 0.510 0.242 0.315  0.15
2 O 0.068 0.758 0.685  0.15
3 O 0.690 0.690 0.929  0.10
4 S 0.249 0.249 0.254  -0.01
5 O 0.932 0.510 0.315  0.15
6 O 0.242 0.932 0.315  0.15
7 S 0.751 0.751 0.746  -0.01
8 O 0.310 0.310 0.071  0.10
9 O 0.758 0.490 0.685  0.15
10 O 0.490 0.068 0.685  0.15
11 Na 0.000 0.000 0.000  0.00
12 Au 0.500 0.500 0.500  0.80

Computed properties:
The space group is R32, No. 155. The formation energy (no corrections) comes out at -98.0 kJ per mole of atoms.

---

3.
The following is a DFT calculation (GGA-PBE) of a relaxed structure of NaAuSe2O8.

abc: 5.062 5.062 8.912
angles: 73.50 73.50 60.00
Each line ends with the local moment (μB).
Element x y z (fractional)
1 Au 0.500 0.500 0.500  0.81
2 O 0.098 0.761 0.676  0.15
3 Se 0.753 0.753 0.741  0.00
4 O 0.465 0.098 0.676  0.15
5 O 0.535 0.239 0.324  0.15
6 Se 0.247 0.247 0.259  0.00
7 O 0.688 0.688 0.937  0.07
8 O 0.312 0.312 0.063  0.07
9 Na 0.000 0.000 0.000  0.00
10 O 0.239 0.902 0.324  0.15
11 O 0.761 0.465 0.676  0.15
12 O 0.902 0.535 0.324  0.15

Computed properties:
The space group is R32, No. 155. The formation energy (no corrections) comes out at -46.5 kJ per mole of atoms.

---

4.
The following is a DFT calculation (GGA-PBE) of a relaxed structure of Na5AuSeO2.

abc: 4.648 4.648 8.657
angles: 90.00 90.00 90.00
Element x y z (fractional)
1 Au 0.000 0.000 0.000
2 Na 0.500 0.000 0.738
3 Na 0.000 0.500 0.738
4 Na 0.500 0.000 0.262
5 Na 0.000 0.000 0.500
6 O 0.000 0.000 0.765
7 Na 0.000 0.500 0.262
8 Se 0.500 0.500 0.500
9 O 0.000 0.000 0.235

Computed properties:
The space group is P4/mmm, No. 123. The formation energy (no corrections) comes out at -105.4 kJ per mole of atoms.

---

5.
The following is a DFT calculation (GGA-PBE) of a relaxed structure of Na2Sm2AuO6.

abc: 6.028 6.028 5.864
angles: 96.83 96.83 121.20
Each line ends with the local moment (μB).
Element x y z (fractional)
1 O 0.629 0.962 0.296  0.15
2 Na 0.144 0.856 0.000  0.00
3 Au 0.000 0.000 0.500  0.32
4 Na 0.856 0.144 0.000  0.00
5 O 0.371 0.038 0.704  0.15
6 O 0.241 0.241 0.300  0.00
7 O 0.038 0.371 0.704  0.15
8 Sm 0.664 0.336 0.500  0.00
9 Sm 0.336 0.664 0.500  0.00
10 O 0.962 0.629 0.296  0.15
11 O 0.759 0.759 0.700  0.00

Computed properties:
The space group is C2/m, No. 12. The formation energy (no corrections) comes out at -179.9 kJ per mole of atoms.

---

6.
The following is a DFT calculation (GGA-PBE) of a relaxed structure of Na2SnAuO4.

abc: 5.375 5.375 5.375
angles: 106.37 111.04 111.04
Each line ends with the local moment (μB).
Element x y z (fractional)
1 O 0.517 0.239 0.380  0.11
2 Sn 0.500 0.250 0.750  0.02
3 Na 0.500 0.750 0.250  0.00
4 O 0.141 0.279 0.761  0.11
5 Na 0.000 0.000 0.000  0.01
6 O 0.483 0.863 0.721  0.11
7 O 0.859 0.620 0.137  0.11
8 Au 0.000 0.500 0.500  0.45

Computed properties:
The space group is I-4, No. 82. The formation energy (no corrections) comes out at -105.1 kJ per mole of atoms.

---

7.
The following is a DFT calculation (GGA-PBE) of a relaxed structure of Na2SnAuO.

abc: 4.461 4.461 4.811
angles: 90.00 90.00 90.00
Element x y z (fractional)
1 Na 0.500 0.000 0.000
2 Au 0.500 0.500 0.500
3 Sn 0.000 0.000 0.500
4 Na 0.000 0.500 0.000
5 O 0.000 0.000 0.000

Computed properties:
The space group is P4/mmm, No. 123. The formation energy (no corrections) comes out at -71.0 kJ per mole of atoms.

---

8.
The following is a DFT calculation (GGA-PBE) of a relaxed structure of Na2SrAuO4.

abc: 5.363 5.363 5.363
angles: 104.68 111.92 111.92
Each line ends with the local moment (μB).
Element x y z (fractional)
1 Au 0.000 0.500 0.500  0.16
2 Sr 0.500 0.250 0.750  0.00
3 O 0.470 0.735 0.737  0.18
4 Na 0.000 0.000 0.000  0.00
5 O 0.998 0.263 0.733  0.18
6 O 0.002 0.735 0.265  0.18
7 O 0.530 0.267 0.265  0.18
8 Na 0.500 0.750 0.250  0.00

Computed properties:
The space group is I-4, No. 82. The formation energy (no corrections) comes out at -126.6 kJ per mole of atoms.